The following is a PBE calculation of LaPrCoHg after structural relaxation, from Alexandria via LeMat-Bulk.

Unit cell a=5.274 b=5.274 c=5.274 alpha=60.00 beta=60.00 gamma=60.00
Atoms (fractional coordinates):
La 0.000 0.000 0.000
Pr 0.500 0.500 0.500
Co 0.250 0.250 0.250
Hg 0.750 0.750 0.750

Properties
E ... -4.40 eV/atom
Size of the total moment ... 0.152 μB/atom
E_form ... -119.3 meV/atom
DOS(E_F) ... 3.86 states/eV/cell

The following is a PBE calculation of SrInMo2 after structural relaxation, from Alexandria via LeMat-Bulk.

Unit cell a=4.544 b=4.544 c=7.218 alpha=96.23 beta=96.23 gamma=40.67
Atoms (fractional coordinates):
Sr 0.000 0.000 0.000
In 0.242 0.242 0.663
Mo 0.498 0.498 0.442
Mo 0.770 0.770 0.316

Properties
E ... -6.01 eV/atom
Size of the total moment ... 0.000 μB/atom
E_form ... 511.1 meV/atom
DOS(E_F) ... 3.75 states/eV/cell

The following is a PBE calculation of Na12MgTl6 after structural relaxation, from Alexandria via LeMat-Bulk.

Unit cell a=8.303 b=8.303 c=8.303 alpha=88.41 beta=88.41 gamma=88.41
Atoms (fractional coordinates):
Na 0.025 0.925 0.310
Na 0.075 0.690 0.975
Na 0.120 0.463 0.352
Na 0.310 0.025 0.925
Na 0.352 0.120 0.463
Na 0.463 0.352 0.120
Na 0.537 0.648 0.880
Na 0.648 0.880 0.537
Na 0.690 0.975 0.075
Na 0.880 0.537 0.648
Na 0.925 0.310 0.025
Na 0.975 0.075 0.690
Mg 0.500 0.500 0.500
Tl 0.234 0.383 0.752
Tl 0.248 0.766 0.617
Tl 0.383 0.752 0.234
Tl 0.617 0.248 0.766
Tl 0.752 0.234 0.383
Tl 0.766 0.617 0.248

Properties
E ... -1.75 eV/atom
Size of the total moment ... 0.000 μB/atom
E_form ... -81.4 meV/atom
DOS(E_F) ... 11.02 states/eV/cell

The following is a PBE calculation of CsPPbO4 after structural relaxation, from Alexandria via LeMat-Bulk.

Unit cell a=9.822 b=5.762 c=9.608 alpha=90.00 beta=90.00 gamma=90.00
Atoms (fractional coordinates):
Cs 0.023 0.250 0.160
Cs 0.477 0.750 0.660
Cs 0.523 0.250 0.340
Cs 0.977 0.750 0.840
P 0.172 0.750 0.422
P 0.328 0.250 0.922
P 0.672 0.750 0.078
P 0.828 0.250 0.578
Pb 0.157 0.250 0.590
Pb 0.343 0.750 0.090
Pb 0.657 0.250 0.910
Pb 0.843 0.750 0.410
O 0.057 0.750 0.537
O 0.107 0.750 0.275
O 0.237 0.029 0.945
O 0.237 0.471 0.945
O 0.263 0.529 0.445
O 0.263 0.971 0.445
O 0.393 0.250 0.775
O 0.443 0.250 0.037
O 0.557 0.750 0.963
O 0.607 0.750 0.225
O 0.737 0.029 0.555
O 0.737 0.471 0.555
O 0.763 0.529 0.055
O 0.763 0.971 0.055
O 0.893 0.250 0.725
O 0.943 0.250 0.463

Properties
E ... -6.30 eV/atom
Size of the total moment ... 0.000 μB/atom
DOS(E_F) ... 0.00 states/eV/cell
Polymorph energy (0 for the lowest one) ... 0.000 eV per atom
Formation energy without anion corrections ... -2.039 eV per atom

The following is a PBE calculation of Ti8In2O after structural relaxation, from Alexandria via LeMat-Bulk.

Unit cell a=7.860 b=7.860 c=5.596 alpha=106.96 beta=106.96 gamma=34.23
Atoms (fractional coordinates):
Ti 0.003 0.003 0.240
Ti 0.214 0.214 0.123
Ti 0.379 0.379 0.737
Ti 0.424 0.424 0.274
Ti 0.576 0.576 0.726
Ti 0.621 0.621 0.263
Ti 0.786 0.786 0.877
Ti 0.997 0.997 0.760
In 0.177 0.177 0.607
In 0.823 0.823 0.393
O 0.500 0.500 0.000

Properties
E ... -7.04 eV/atom
Size of the total moment ... 0.001 μB/atom
DOS(E_F) ... 13.62 states/eV/cell
Formation energy without anion corrections ... -0.351 eV per atom

The following is a PBE calculation of MgAg2Ru after structural relaxation, from Alexandria via LeMat-Bulk.

Unit cell a=10.243 b=10.243 c=10.243 alpha=158.38 beta=158.38 gamma=30.76
Atoms (fractional coordinates):
Mg 0.000 0.000 0.000
Mg 0.750 0.250 0.500
Ag 0.127 0.625 0.002
Ag 0.375 0.377 0.502
Ag 0.623 0.125 0.998
Ag 0.875 0.873 0.498
Ru 0.250 0.750 0.500
Ru 0.500 0.500 0.000

Properties
E ... -3.62 eV/atom
Size of the total moment ... 0.039 μB/atom
E_form ... 519.2 meV/atom
DOS(E_F) ... 8.21 states/eV/cell

The following is a PBE calculation of ZrBI2O after structural relaxation, from Alexandria via LeMat-Bulk.

Unit cell a=5.872 b=5.872 c=4.013 alpha=90.00 beta=90.00 gamma=90.00
Atoms (fractional coordinates):
Zr 0.000 0.000 0.000
B 0.500 0.500 0.500
I 0.000 0.500 0.000
I 0.500 0.000 0.000
O 0.000 0.000 0.500

Properties
E ... -4.81 eV/atom
Size of the total moment ... 0.183 μB/atom
DOS(E_F) ... 2.37 states/eV/cell
Polymorph energy (0 for the lowest one) ... 0.000 eV per atom
Formation energy without anion corrections ... -0.149 eV per atom

The following is a PBE calculation of Hf2HgPt2 after structural relaxation, from Alexandria via LeMat-Bulk.

Unit cell a=4.950 b=4.950 c=5.038 alpha=90.00 beta=90.00 gamma=90.00
Atoms (fractional coordinates):
Hf 0.000 0.500 0.000
Hf 0.500 0.000 0.000
Hg 0.000 0.000 0.500
Pt 0.500 0.500 0.000
Pt 0.500 0.500 0.500

Properties
E ... -6.17 eV/atom
Size of the total moment ... 0.000 μB/atom
E_form ... 289.5 meV/atom
DOS(E_F) ... 4.02 states/eV/cell

The following is a PBE calculation of PmPr4Sm7 after structural relaxation, from Alexandria via LeMat-Bulk.

Unit cell a=8.777 b=8.777 c=9.440 alpha=114.42 beta=114.42 gamma=40.48
Atoms (fractional coordinates):
Pm 0.000 0.000 0.000
Pr 0.326 0.326 0.612
Pr 0.424 0.424 0.299
Pr 0.576 0.576 0.701
Pr 0.674 0.674 0.388
Sm 0.081 0.081 0.438
Sm 0.207 0.207 0.225
Sm 0.213 0.213 0.877
Sm 0.500 0.500 0.000
Sm 0.787 0.787 0.123
Sm 0.793 0.793 0.775
Sm 0.919 0.919 0.562

Properties
E ... -4.54 eV/atom
Size of the total moment ... 0.037 μB/atom
E_form ... 205.1 meV/atom
DOS(E_F) ... 18.66 states/eV/cell
Polymorph energy (0 for the lowest one) ... 0.193 eV per atom

The following is a PBE calculation of NaAg2Hg after structural relaxation, from Alexandria via LeMat-Bulk.

Unit cell a=10.817 b=10.817 c=10.817 alpha=157.88 beta=157.88 gamma=31.49
Atoms (fractional coordinates):
Na 0.000 0.000 0.000
Na 0.750 0.250 0.500
Ag 0.132 0.625 0.007
Ag 0.375 0.382 0.507
Ag 0.618 0.125 0.993
Ag 0.875 0.868 0.493
Hg 0.250 0.750 0.500
Hg 0.500 0.500 0.000

Properties
E ... -1.75 eV/atom
Size of the total moment ... 0.000 μB/atom
E_form ... 82.1 meV/atom
DOS(E_F) ... 2.30 states/eV/cell

The following is a PBE calculation of YCr2Rh after structural relaxation, from Alexandria via LeMat-Bulk.

Unit cell a=3.251 b=3.251 c=6.533 alpha=90.00 beta=90.00 gamma=90.00
Atoms (fractional coordinates):
Y 0.000 0.000 0.000
Cr 0.000 0.000 0.489
Cr 0.500 0.500 0.331
Rh 0.500 0.500 0.745

Properties
E ... -8.20 eV/atom
Size of the total moment ... 0.094 μB/atom
E_form ... 65.3 meV/atom
DOS(E_F) ... 2.59 states/eV/cell
Polymorph energy (0 for the lowest one) ... 0.000 eV per atom

The following is a PBE calculation of Tb4SnPbN after structural relaxation, from Alexandria via LeMat-Bulk.

Unit cell a=8.728 b=8.728 c=6.719 alpha=90.00 beta=90.00 gamma=134.70
Atoms (fractional coordinates):
Tb 0.000 0.500 0.000
Tb 0.000 0.500 0.500
Tb 0.091 0.909 0.750
Tb 0.407 0.593 0.750
Tb 0.500 0.000 0.000
Tb 0.500 0.000 0.500
Tb 0.593 0.407 0.250
Tb 0.909 0.091 0.250
Sn 0.108 0.892 0.250
Sn 0.892 0.108 0.750
Pb 0.395 0.605 0.250
Pb 0.605 0.395 0.750
N 0.251 0.749 0.750
N 0.749 0.251 0.250

Properties
E ... -5.84 eV/atom
Size of the total moment ... 0.000 μB/atom
DOS(E_F) ... 8.58 states/eV/cell
Formation energy without anion corrections ... -0.908 eV per atom

The following is a PBE calculation of Zn2TeIr after structural relaxation, from Alexandria via LeMat-Bulk.

Unit cell a=5.067 b=5.067 c=5.067 alpha=132.96 beta=132.96 gamma=68.72
Atoms (fractional coordinates):
Zn 0.250 0.750 0.500
Zn 0.750 0.250 0.500
Te 0.000 0.000 0.000
Ir 0.500 0.500 0.000

Properties
E ... -3.45 eV/atom
Size of the total moment ... 0.000 μB/atom
DOS(E_F) ... 1.46 states/eV/cell
Formation energy without anion corrections ... 0.192 eV per atom

The following is a PBE calculation of Tb2HoSb after structural relaxation, from Alexandria via LeMat-Bulk.

Unit cell a=4.106 b=4.106 c=6.824 alpha=90.00 beta=90.00 gamma=90.00
Atoms (fractional coordinates):
Tb 0.000 0.000 0.232
Tb 0.000 0.000 0.768
Ho 0.500 0.500 0.500
Sb 0.500 0.500 0.000

Properties
E ... -4.97 eV/atom
Size of the total moment ... 0.000 μB/atom
DOS(E_F) ... 4.59 states/eV/cell
Polymorph energy (0 for the lowest one) ... 0.059 eV per atom
Formation energy without anion corrections ... -0.484 eV per atom

The following is a PBE calculation of ScPa2O6 after structural relaxation, from Alexandria via LeMat-Bulk.

Unit cell a=5.298 b=5.752 c=9.384 alpha=90.00 beta=90.00 gamma=90.00
Atoms (fractional coordinates):
Sc 0.000 0.000 0.000
Sc 0.500 0.500 0.500
Pa 0.000 0.500 0.191
Pa 0.000 0.500 0.809
Pa 0.500 0.000 0.309
Pa 0.500 0.000 0.691
O 0.174 0.329 0.000
O 0.216 0.836 0.167
O 0.216 0.836 0.833
O 0.284 0.336 0.333
O 0.284 0.336 0.667
O 0.326 0.829 0.500
O 0.674 0.171 0.500
O 0.716 0.664 0.333
O 0.716 0.664 0.667
O 0.784 0.164 0.167
O 0.784 0.164 0.833
O 0.826 0.671 0.000

Properties
E ... -9.61 eV/atom
Size of the total moment ... 0.114 μB/atom
DOS(E_F) ... 11.18 states/eV/cell
Formation energy without anion corrections ... -3.494 eV per atom